First-principles (GGA-PBE) data for an optimized crystal structure of Mg12AlAg6, as listed in Alexandria via LeMat-Bulk.

Properties
N(E_F)	22.64	states/eV per cell
energy of formation from the pure elements	-195	kJ/mol of formula units
total DFT energy (no corrections)	-126.0	eV per cell

a b c (Å): 13.1195 13.1195 7.5003
angles (deg): 90.00 90.00 120.00
Space group R-3 (No. 148, hexagonal axes)
Symmetry-distinct sites (fractional):
Mg1 0.0086 0.1393 0.1627
Mg2 0.0657 0.5604 0.1740
Al1 0.0000 0.0000 0.5000
Ag1 0.0302 0.2780 0.8299